Compound: SrBMo2
Source: Alexandria
Functional: PBE-GGA
Structure: relaxed

Unit cell a=6.4659 b=6.4659 c=9.1123 alpha=90.00 beta=90.00 gamma=90.00
Space group I4_1/amd (No. 141, origin choice 2)
Inequivalent atoms, fractional coordinates:
1 Sr 0.0000 0.2500 0.3750 [4 per cell]
2 B 0.0000 0.2500 0.8750 [4 per cell]
3 Mo 0.0000 0.0000 0.0000 [8 per cell]

Total magnetization = 0.0 μB/cell
Formation energy from the elements = 1027.1 meV/atom